(A)
Mg2ZrPd2 after structural relaxation, computed with PBE-GGA.

Calculated values
For the volume, the calculation gives 94.2 Å³ per cell.

Lattice parameters (Å, degrees): 7.0179 7.0179 7.0179 148.48 148.48 45.18
Last column: nearest neighbours and their distance in Å.
Sites, in units of the cell vectors:
1 Mg 0.2500 0.7500 0.5000  4 Mg 2.70, 4 Pd 2.71
2 Mg 0.7500 0.2500 0.5000  4 Mg 2.70, 4 Pd 2.71
3 Zr 0.0000 0.0000 0.0000  8 Pd 3.00
4 Pd 0.3987 0.3987 0.0000  1 Pd 2.63, 4 Mg 2.71
5 Pd 0.6013 0.6013 0.0000  1 Pd 2.63, 4 Mg 2.71

(B)
Mg2ZrPd2 after structural relaxation, computed with PBE-GGA.

Calculated values
For the volume, the calculation gives 176.8 Å³ per cell.

Lattice parameters (Å, degrees): 7.8083 7.8083 2.8992 90.00 90.00 90.00
Last column: nearest neighbours and their distance in Å.
Sites, in units of the cell vectors:
1 Mg 0.1252 0.3748 0.0000  6 Pd 2.65-2.78, 3 Mg 2.77-2.90
2 Mg 0.3748 0.8748 0.0000  6 Pd 2.65-2.78, 3 Mg 2.77-2.90
3 Mg 0.6252 0.1252 0.0000  6 Pd 2.65-2.78, 3 Mg 2.77-2.90
4 Mg 0.8748 0.6252 0.0000  6 Pd 2.65-2.78, 3 Mg 2.77-2.90
5 Zr 0.0000 0.0000 0.0000  2 Zr 2.90, 4 Mg 3.09, 8 Pd 3.23
6 Zr 0.5000 0.5000 0.0000  2 Zr 2.90, 4 Mg 3.09, 8 Pd 3.23
7 Pd 0.1740 0.6740 0.5000  6 Mg 2.65-2.78, 2 Pd 2.90
8 Pd 0.3260 0.1740 0.5000  6 Mg 2.65-2.78, 2 Pd 2.90
9 Pd 0.6740 0.8260 0.5000  6 Mg 2.65-2.78, 2 Pd 2.90
10 Pd 0.8260 0.3260 0.5000  6 Mg 2.65-2.78, 2 Pd 2.90

(C)
Mg2ZrPd2 after structural relaxation, computed with PBE-GGA.

Calculated values
For the volume, the calculation gives 96.7 Å³ per cell.

Lattice parameters (Å, degrees): 9.6574 9.6574 3.0615 90.00 90.00 160.20
Last column: nearest neighbours and their distance in Å.
Sites, in units of the cell vectors:
1 Mg 0.1784 0.8216 0.0000  4 Pd 2.75, 2 Mg 3.06
2 Mg 0.8216 0.1784 0.0000  4 Pd 2.75, 2 Mg 3.06
3 Zr 0.0000 0.0000 0.0000  8 Pd 2.90, 2 Zr 3.06
4 Pd 0.4045 0.5955 0.5000  4 Mg 2.75, 4 Zr 2.90, 2 Pd 3.06
5 Pd 0.5955 0.4045 0.5000  4 Mg 2.75, 4 Zr 2.90, 2 Pd 3.06

Of all the structures shown, which is most stable? (C), and (A) is the least stable.